Computed, not measured: a relaxed structure of V2HgPdO8 at the PBE+U level of DFT.

Geometry as POSCAR:
```
V2HgPdO8
1.0
5.669 0.000 0.000
-2.835 4.910 0.000
0.000 0.000 6.387
V Hg Pd O
2 1 1 8
Cartesian
0.000 3.273 1.480
2.835 1.637 4.908
0.000 0.000 0.000
0.000 0.000 3.194
0.000 1.528 1.904
-1.511 4.146 1.904
1.323 0.764 4.484
0.000 3.273 6.236
2.835 1.637 0.152
1.511 4.146 1.904
4.346 0.764 4.484
2.835 3.381 4.484
```

## Properties
The value obtained for the total DFT energy (no corrections) is -6.0702 eV/atom. As for the space group: P-3m1, No. 164.